{"formula": "Cs2AlAu2", "functional": "GGA-PBE", "state": "optimized geometry", "lattice": [[2.2971, 1.3262, 11.4785], [-2.2971, 1.3262, 11.4785], [0.0000, -2.6525, 11.4785]], "species": ["Cs", "Cs", "Al", "Au", "Au"], "fractional_positions": [[0.0751, 0.0751, 0.0751], [0.9249, 0.9249, 0.9249], [0.5000, 0.5000, 0.5000], [0.1825, 0.1825, 0.1825], [0.8175, 0.8175, 0.8175]], "density_g_cm3": 5.43, "dft_energy_ev_per_atom": -2.66, "relative_energy_mev_per_atom": 0.0, "delta_e_f_ev_per_atom": -0.263}


{"formula": "CsAl6Au12", "functional": "GGA-PBE", "state": "optimized geometry", "lattice": [[5.9804, 3.4528, 3.0430], [-5.9804, 3.4528, 3.0430], [0.0000, -6.9055, 3.0430]], "species": ["Cs", "Al", "Al", "Al", "Al", "Al", "Al", "Au", "Au", "Au", "Au", "Au", "Au", "Au", "Au", "Au", "Au", "Au", "Au"], "fractional_positions": [[0.0000, 0.0000, 0.0000], [0.2739, 0.2739, 0.6891], [0.2739, 0.6891, 0.2739], [0.3109, 0.7261, 0.7261], [0.6891, 0.2739, 0.2739], [0.7261, 0.3109, 0.7261], [0.7261, 0.7261, 0.3109], [0.1187, 0.5000, 0.8813], [0.1187, 0.8813, 0.5000], [0.1425, 0.4055, 0.4055], [0.4055, 0.1425, 0.4055], [0.4055, 0.4055, 0.1425], [0.5000, 0.1187, 0.8813], [0.5000, 0.8813, 0.1187], [0.5945, 0.5945, 0.8575], [0.5945, 0.8575, 0.5945], [0.8575, 0.5945, 0.5945], [0.8813, 0.1187, 0.5000], [0.8813, 0.5000, 0.1187]], "density_g_cm3": 11.71, "dft_energy_ev_per_atom": -3.57, "delta_e_f_ev_per_atom": -0.271}


{"formula": "CsAl2Au3", "functional": "GGA-PBE", "state": "optimized geometry", "lattice": [[5.9355, -4.1492, 0.0000], [5.9355, 4.1492, 0.0000], [0.0000, 0.0000, 5.7152]], "species": ["Cs", "Cs", "Al", "Al", "Al", "Al", "Au", "Au", "Au", "Au", "Au", "Au"], "fractional_positions": [[0.1373, 0.8627, 0.7500], [0.8627, 0.1373, 0.2500], [0.3145, 0.3145, 0.0000], [0.3145, 0.3145, 0.5000], [0.6855, 0.6855, 0.0000], [0.6855, 0.6855, 0.5000], [0.0074, 0.5640, 0.2500], [0.4321, 0.5679, 0.2500], [0.4360, 0.9926, 0.2500], [0.5640, 0.0074, 0.7500], [0.5679, 0.4321, 0.7500], [0.9926, 0.4360, 0.7500]], "density_g_cm3": 9.18, "dft_energy_ev_per_atom": -3.45, "delta_e_f_ev_per_atom": -0.425}


{"formula": "Cs2AlAu5", "functional": "GGA-PBE", "state": "optimized geometry", "lattice": [[-3.1513, 3.2841, 5.6427], [3.1513, -3.2841, 5.6427], [3.1513, 3.2841, -5.6427]], "species": ["Cs", "Cs", "Al", "Au", "Au", "Au", "Au", "Au"], "fractional_positions": [[0.0000, 0.0000, 0.0000], [0.4941, 0.4941, 0.0000], [0.1738, 0.6738, 0.5000], [0.5183, 0.0118, 0.0387], [0.5183, 0.4795, 0.5065], [0.9354, 0.4354, 0.5000], [0.9730, 0.0118, 0.4935], [0.9730, 0.4795, 0.9613]], "density_g_cm3": 9.08, "dft_energy_ev_per_atom": -2.94, "delta_e_f_ev_per_atom": -0.212}


{"formula": "CsAlAu", "functional": "GGA-PBE", "state": "optimized geometry", "lattice": [[4.3865, 0.0000, 0.0000], [-2.1932, 3.7988, 0.0000], [0.0000, 0.0000, 6.3116]], "species": ["Cs", "Al", "Au"], "fractional_positions": [[0.0000, 0.0000, 0.0000], [0.6667, 0.3333, 0.5000], [0.3333, 0.6667, 0.5008]], "density_g_cm3": 5.63, "dft_energy_ev_per_atom": -2.77, "relative_energy_mev_per_atom": 143.3, "delta_e_f_ev_per_atom": -0.142}


{"formula": "CsAl2Au", "functional": "GGA-PBE", "state": "optimized geometry", "lattice": [[0.0000, 3.6813, 3.6813], [3.6813, 0.0000, 3.6813], [3.6813, 3.6813, 0.0000]], "species": ["Cs", "Al", "Al", "Au"], "fractional_positions": [[0.0000, 0.0000, 0.0000], [0.2500, 0.2500, 0.2500], [0.7500, 0.7500, 0.7500], [0.5000, 0.5000, 0.5000]], "density_g_cm3": 6.39, "dft_energy_ev_per_atom": -2.38, "delta_e_f_ev_per_atom": 0.526}


{"formula": "CsAlAu", "functional": "GGA-PBE", "state": "optimized geometry", "lattice": [[3.2550, -3.2525, 0.0000], [3.2550, 3.2525, 0.0000], [-0.1686, 0.0000, 11.0945]], "species": ["Cs", "Cs", "Al", "Al", "Au", "Au"], "fractional_positions": [[0.2415, 0.2415, 0.2075], [0.7585, 0.7585, 0.7925], [0.2502, 0.7498, 0.5000], [0.7498, 0.2502, 0.5000], [0.2527, 0.2527, 0.6075], [0.7473, 0.7473, 0.3925]], "density_g_cm3": 5.05, "dft_energy_ev_per_atom": -2.91, "relative_energy_mev_per_atom": 0.0, "delta_e_f_ev_per_atom": -0.285}


{"formula": "Cs3AlAu", "functional": "GGA-PBE", "state": "optimized geometry", "lattice": [[7.0804, 0.0000, 0.0000], [0.0000, 7.0804, 0.0000], [0.0000, 0.0000, 7.0804]], "species": ["Cs", "Cs", "Cs", "Al", "Au"], "fractional_positions": [[0.0000, 0.0000, 0.5000], [0.0000, 0.5000, 0.0000], [0.5000, 0.0000, 0.0000], [0.0000, 0.0000, 0.0000], [0.5000, 0.5000, 0.5000]], "density_g_cm3": 2.91, "dft_energy_ev_per_atom": -1.57, "delta_e_f_ev_per_atom": 0.345}


{"formula": "CsAlAu2", "functional": "GGA-PBE", "state": "optimized geometry", "lattice": [[4.5192, 0.0000, 0.0000], [2.2087, 4.0372, 0.0000], [2.2521, 1.3458, 6.7073]], "species": ["Cs", "Al", "Au", "Au"], "fractional_positions": [[0.0000, 0.0000, 0.0000], [0.5000, 0.5000, 0.5000], [0.1880, 0.1917, 0.4343], [0.8120, 0.8083, 0.5657]], "density_g_cm3": 7.51, "dft_energy_ev_per_atom": -3.11, "delta_e_f_ev_per_atom": -0.323}


{"formula": "Cs2AlAu3", "functional": "GGA-PBE", "state": "optimized geometry", "lattice": [[7.4275, -5.0900, 0.0000], [7.4275, 5.0900, 0.0000], [0.0000, 0.0000, 5.4717]], "species": ["Cs", "Cs", "Cs", "Cs", "Al", "Al", "Au", "Au", "Au", "Au", "Au", "Au"], "fractional_positions": [[0.0132, 0.6761, 0.7500], [0.3239, 0.9868, 0.7500], [0.6761, 0.0132, 0.2500], [0.9868, 0.3239, 0.2500], [0.3665, 0.6335, 0.2500], [0.6335, 0.3665, 0.7500], [0.1136, 0.8864, 0.2500], [0.3816, 0.3816, 0.0000], [0.3816, 0.3816, 0.5000], [0.6184, 0.6184, 0.0000], [0.6184, 0.6184, 0.5000], [0.8864, 0.1136, 0.7500]], "density_g_cm3": 7.09, "dft_energy_ev_per_atom": -2.85, "delta_e_f_ev_per_atom": -0.303}


{"formula": "CsAlAu2", "functional": "GGA-PBE", "state": "optimized geometry", "lattice": [[4.5908, 0.0000, 0.0000], [0.0000, 7.5236, 0.0000], [0.0000, 0.0000, 7.1356]], "species": ["Cs", "Cs", "Al", "Al", "Au", "Au", "Au", "Au"], "fractional_positions": [[0.2500, 0.2500, 0.1031], [0.7500, 0.7500, 0.8969], [0.2500, 0.7500, 0.4320], [0.7500, 0.2500, 0.5680], [0.2500, 0.0661, 0.5927], [0.2500, 0.4339, 0.5927], [0.7500, 0.5661, 0.4073], [0.7500, 0.9339, 0.4073]], "density_g_cm3": 7.46, "dft_energy_ev_per_atom": -3.13, "delta_e_f_ev_per_atom": -0.346}


{"formula": "Cs2AlAuF6", "functional": "GGA-PBE", "state": "optimized geometry", "lattice": [[-3.4482, 3.4482, 4.0162], [3.4482, -3.4482, 4.0162], [3.4482, 3.4482, -4.0162]], "species": ["Cs", "Cs", "Al", "Au", "F", "F", "F", "F", "F", "F"], "fractional_positions": [[0.2500, 0.7500, 0.5000], [0.7500, 0.2500, 0.5000], [0.0000, 0.0000, 0.0000], [0.5000, 0.5000, 0.0000], [0.1846, 0.1846, 0.3692], [0.1846, 0.8154, 0.0000], [0.2430, 0.2430, 0.0000], [0.7570, 0.7570, 0.0000], [0.8154, 0.1846, 0.0000], [0.8154, 0.8154, 0.6308]], "density_g_cm3": 5.25, "dft_energy_ev_per_atom": -4.66, "relative_energy_mev_per_atom": 0.0}


{"formula": "Cs2AlAuF", "functional": "GGA-PBE", "state": "optimized geometry", "lattice": [[6.2901, 0.0000, 0.0000], [0.0000, 6.2901, 0.0000], [0.0000, 0.0000, 4.4026]], "species": ["Cs", "Cs", "Al", "Au", "F"], "fractional_positions": [[0.0000, 0.5000, 0.0000], [0.5000, 0.0000, 0.0000], [0.0000, 0.0000, 0.5000], [0.5000, 0.5000, 0.5000], [0.0000, 0.0000, 0.0000]], "density_g_cm3": 4.85, "dft_energy_ev_per_atom": -2.86}


{"formula": "Cs2AlAuF6", "functional": "GGA-PBE", "state": "optimized geometry", "lattice": [[0.0000, 4.4510, 4.4510], [4.4510, 0.0000, 4.4510], [4.4510, 4.4510, 0.0000]], "species": ["Cs", "Cs", "Al", "Au", "F", "F", "F", "F", "F", "F"], "fractional_positions": [[0.2500, 0.2500, 0.2500], [0.7500, 0.7500, 0.7500], [0.0000, 0.0000, 0.0000], [0.5000, 0.5000, 0.5000], [0.2081, 0.2081, 0.7919], [0.2081, 0.7919, 0.2081], [0.2081, 0.7919, 0.7919], [0.7919, 0.2081, 0.2081], [0.7919, 0.2081, 0.7919], [0.7919, 0.7919, 0.2081]], "density_g_cm3": 5.68, "dft_energy_ev_per_atom": -4.61, "relative_energy_mev_per_atom": 49.7}


{"formula": "Cs2AlGaAu6", "functional": "GGA-PBE", "state": "optimized geometry", "lattice": [[6.9644, 0.0000, 0.0000], [3.4804, 6.2478, 0.0000], [3.4671, -1.9127, 6.1156]], "species": ["Cs", "Cs", "Al", "Ga", "Au", "Au", "Au", "Au", "Au", "Au"], "fractional_positions": [[0.0910, 0.1815, 0.1367], [0.9090, 0.8185, 0.8633], [0.5000, 0.0000, 0.5000], [0.5000, 0.5000, 0.0000], [0.0026, 0.2791, 0.6698], [0.4067, 0.3408, 0.3473], [0.4519, 0.7206, 0.3297], [0.5481, 0.2794, 0.6703], [0.5933, 0.6592, 0.6527], [0.9974, 0.7209, 0.3302]], "density_g_cm3": 9.64, "dft_energy_ev_per_atom": -3.09, "delta_e_f_ev_per_atom": -0.276}


{"formula": "Cs2AlHgAu", "functional": "GGA-PBE", "state": "optimized geometry", "lattice": [[7.1222, 0.0000, 0.0000], [0.0000, 7.1222, 0.0000], [0.0000, 0.0000, 4.8876]], "species": ["Cs", "Cs", "Al", "Hg", "Au"], "fractional_positions": [[0.0000, 0.5000, 0.0000], [0.5000, 0.0000, 0.0000], [0.0000, 0.0000, 0.5000], [0.5000, 0.5000, 0.5000], [0.0000, 0.0000, 0.0000]], "density_g_cm3": 4.62, "dft_energy_ev_per_atom": -1.89, "delta_e_f_ev_per_atom": -0.084}


{"formula": "CsAlHg2Au", "functional": "GGA-PBE", "state": "optimized geometry", "lattice": [[5.4769, 0.0000, 0.0000], [0.0000, 5.4769, 0.0000], [0.0000, 0.0000, 5.2200]], "species": ["Cs", "Al", "Hg", "Hg", "Au"], "fractional_positions": [[0.0000, 0.0000, 0.0000], [0.5000, 0.5000, 0.5000], [0.0000, 0.5000, 0.5000], [0.5000, 0.0000, 0.5000], [0.5000, 0.5000, 0.0000]], "density_g_cm3": 8.04, "dft_energy_ev_per_atom": -1.88, "delta_e_f_ev_per_atom": -0.180}


{"formula": "CsAlHgAu2", "functional": "GGA-PBE", "state": "optimized geometry", "lattice": [[5.1702, 0.0000, 0.0000], [0.0000, 5.1702, 0.0000], [0.0000, 0.0000, 5.5366]], "species": ["Cs", "Al", "Hg", "Au", "Au"], "fractional_positions": [[0.0000, 0.0000, 0.0000], [0.5000, 0.5000, 0.5000], [0.5000, 0.5000, 0.0000], [0.0000, 0.5000, 0.5000], [0.5000, 0.0000, 0.5000]], "density_g_cm3": 8.46, "dft_energy_ev_per_atom": -2.49, "delta_e_f_ev_per_atom": -0.204}


{"formula": "Cs2AlAuI6", "functional": "GGA-PBE", "state": "optimized geometry", "lattice": [[-4.1054, 4.1054, 6.0701], [4.1054, -4.1054, 6.0701], [4.1054, 4.1054, -6.0701]], "species": ["Cs", "Cs", "Al", "Au", "I", "I", "I", "I", "I", "I"], "fractional_positions": [[0.2500, 0.7500, 0.5000], [0.7500, 0.2500, 0.5000], [0.0000, 0.0000, 0.0000], [0.5000, 0.5000, 0.0000], [0.2242, 0.2242, 0.0000], [0.2495, 0.2495, 0.4990], [0.2495, 0.7505, 0.0000], [0.7505, 0.2495, 0.0000], [0.7505, 0.7505, 0.5010], [0.7758, 0.7758, 0.0000]], "density_g_cm3": 5.08, "dft_energy_ev_per_atom": -2.61}


{"formula": "CsAl2AuI8", "functional": "GGA-PBE", "state": "optimized geometry", "lattice": [[7.4998, 0.0000, 0.0000], [-3.7499, 6.4950, 0.0000], [0.0000, 0.0000, 10.7714]], "species": ["Cs", "Al", "Al", "Au", "I", "I", "I", "I", "I", "I", "I", "I"], "fractional_positions": [[0.0000, 0.0000, 0.0000], [0.3333, 0.6667, 0.7446], [0.6667, 0.3333, 0.2554], [0.0000, 0.0000, 0.5000], [0.0124, 0.3327, 0.6709], [0.3203, 0.9876, 0.6709], [0.3327, 0.3203, 0.3291], [0.3333, 0.6667, 0.9827], [0.6667, 0.3333, 0.0173], [0.6673, 0.6797, 0.6709], [0.6797, 0.0124, 0.3291], [0.9876, 0.6673, 0.3291]], "density_g_cm3": 4.43, "dft_energy_ev_per_atom": -2.69}


{"formula": "CsNa2AlAu", "functional": "GGA-PBE", "state": "optimized geometry", "lattice": [[5.9987, 0.0000, 0.0000], [0.0000, 5.9987, 0.0000], [0.0000, 0.0000, 4.9570]], "species": ["Cs", "Na", "Na", "Al", "Au"], "fractional_positions": [[0.0000, 0.0000, 0.0000], [0.0000, 0.5000, 0.5000], [0.5000, 0.0000, 0.5000], [0.5000, 0.5000, 0.5000], [0.5000, 0.5000, 0.0000]], "density_g_cm3": 3.75, "dft_energy_ev_per_atom": -2.12, "relative_energy_mev_per_atom": 76.9, "delta_e_f_ev_per_atom": -0.019}


{"formula": "CsNa2AlAu", "functional": "GGA-PBE", "state": "optimized geometry", "lattice": [[5.9114, 0.0000, 0.0000], [0.0000, 5.9114, 0.0000], [0.0000, 0.0000, 4.9305]], "species": ["Cs", "Na", "Na", "Al", "Au"], "fractional_positions": [[0.0000, 0.0000, 0.0000], [0.0000, 0.5000, 0.5000], [0.5000, 0.0000, 0.5000], [0.5000, 0.5000, 0.0000], [0.5000, 0.5000, 0.5000]], "density_g_cm3": 3.88, "dft_energy_ev_per_atom": -2.20, "relative_energy_mev_per_atom": 0.0, "delta_e_f_ev_per_atom": -0.095}


{"formula": "CsAlPbAu3", "functional": "GGA-PBE", "state": "optimized geometry", "lattice": [[7.1203, 0.0000, 0.0000], [0.0000, 7.3658, 0.0000], [-2.5559, 0.0000, 6.9438]], "species": ["Cs", "Cs", "Al", "Al", "Pb", "Pb", "Au", "Au", "Au", "Au", "Au", "Au"], "fractional_positions": [[0.2353, 0.2500, 0.9998], [0.7647, 0.7500, 0.0002], [0.1225, 0.7500, 0.6246], [0.8775, 0.2500, 0.3754], [0.4170, 0.7500, 0.3934], [0.5830, 0.2500, 0.6066], [0.2026, 0.0536, 0.5011], [0.2026, 0.4464, 0.5011], [0.2589, 0.7500, 0.9823], [0.7411, 0.2500, 0.0177], [0.7974, 0.5536, 0.4989], [0.7974, 0.9464, 0.4989]], "density_g_cm3": 8.74, "dft_energy_ev_per_atom": -3.31, "delta_e_f_ev_per_atom": -0.283}


{"formula": "Cs2RbAlAu", "functional": "GGA-PBE", "state": "optimized geometry", "lattice": [[7.4025, 0.0000, 0.0000], [0.0000, 7.4025, 0.0000], [0.0000, 0.0000, 4.9931]], "species": ["Cs", "Cs", "Rb", "Al", "Au"], "fractional_positions": [[0.0000, 0.5000, 0.0000], [0.5000, 0.0000, 0.0000], [0.0000, 0.0000, 0.5000], [0.5000, 0.5000, 0.5000], [0.5000, 0.5000, 0.0000]], "density_g_cm3": 3.49, "dft_energy_ev_per_atom": -1.93, "delta_e_f_ev_per_atom": 0.011}


{"formula": "CsRb2AlAu", "functional": "GGA-PBE", "state": "optimized geometry", "lattice": [[6.9934, 0.0000, 0.0000], [0.0000, 6.9934, 0.0000], [0.0000, 0.0000, 4.9981]], "species": ["Cs", "Rb", "Rb", "Al", "Au"], "fractional_positions": [[0.0000, 0.0000, 0.0000], [0.0000, 0.5000, 0.5000], [0.5000, 0.0000, 0.5000], [0.5000, 0.5000, 0.0000], [0.5000, 0.5000, 0.5000]], "density_g_cm3": 3.59, "dft_energy_ev_per_atom": -1.96, "delta_e_f_ev_per_atom": 0.003}